1.
Here is a relaxed structure of Lu4Nb2Co3N3 from OQMD via LeMat-Bulk. Energies are from GGA-PBE.

## Properties
E = -0.558 Ry per atom

Unit cell a=5.651 b=5.651 c=14.127 alpha=103.95 beta=103.95 gamma=59.50
Atoms (fractional coordinates):
Lu (0.036, 0.206, 0.096)
Lu (0.125, 0.292, 0.401)
Lu (0.206, 0.036, 0.596)
Lu (0.292, 0.125, 0.901)
Lu (0.708, 0.875, 0.099)
Lu (0.794, 0.964, 0.404)
Lu (0.875, 0.708, 0.599)
Lu (0.964, 0.794, 0.904)
Nb (0.381, 0.527, 0.091)
Nb (0.473, 0.619, 0.409)
Nb (0.527, 0.381, 0.591)
Nb (0.619, 0.473, 0.909)
Co (0.159, 0.400, 0.753)
Co (0.320, 0.680, 0.750)
Co (0.400, 0.159, 0.253)
Co (0.600, 0.841, 0.747)
Co (0.680, 0.320, 0.250)
Co (0.841, 0.600, 0.247)
N (0.000, 0.500, 0.000)
N (0.179, 0.654, 0.498)
N (0.346, 0.821, 0.002)
N (0.500, 0.000, 0.500)
N (0.654, 0.179, 0.998)
N (0.821, 0.346, 0.502)

=====

2.
Here is a relaxed structure of Lu4CoPbN2 from OQMD via LeMat-Bulk. Energies are from GGA-PBE.

## Properties
ΔE to the lowest computed polymorph = 0.000 eV/f.u.

Unit cell a=3.409 b=3.409 c=14.404 alpha=90.00 beta=90.00 gamma=120.00
Atoms (fractional coordinates):
Lu (0.000, 0.000, 0.132)
Lu (0.000, 0.000, 0.868)
Lu (0.667, 0.333, 0.319)
Lu (0.667, 0.333, 0.681)
Co (0.667, 0.333, 0.000)
Pb (0.000, 0.000, 0.500)
N (0.333, 0.667, 0.241)
N (0.333, 0.667, 0.759)

=====

3.
Here is a relaxed structure of Lu4CoSN2 from OQMD via LeMat-Bulk. Energies are from GGA-PBE.

## Properties
E = -0.520 Ry per atom

Unit cell a=3.427 b=3.427 c=12.887 alpha=90.00 beta=90.00 gamma=120.00
Atoms (fractional coordinates):
Lu (0.000, 0.000, 0.145)
Lu (0.000, 0.000, 0.855)
Lu (0.333, 0.667, 0.354)
Lu (0.333, 0.667, 0.646)
Co (0.000, 0.000, 0.500)
S (0.333, 0.667, 0.000)
N (0.667, 0.333, 0.233)
N (0.667, 0.333, 0.767)

=====

4.
Here is a relaxed structure of Lu4CoSbN2 from OQMD via LeMat-Bulk. Energies are from GGA-PBE.

## Properties
E = -0.497 Ry per atom

Unit cell a=3.424 b=3.424 c=14.015 alpha=90.00 beta=90.00 gamma=120.00
Atoms (fractional coordinates):
Lu (0.000, 0.000, 0.135)
Lu (0.000, 0.000, 0.865)
Lu (0.333, 0.667, 0.325)
Lu (0.333, 0.667, 0.675)
Co (0.333, 0.667, 0.000)
Sb (0.000, 0.000, 0.500)
N (0.667, 0.333, 0.246)
N (0.667, 0.333, 0.754)